# 1
Below is an optimized crystal structure of Dy3TeRh, with properties calculated at the PBE-GGA level.

Calculated values
N(E_F) in states/eV/f.u.: 2.8
Formation energy from raw total energies in eV/atom: -0.7542
Crystal system: orthorhombic
Distance to the lowest polymorph of the same formula in meV/atom: 151.9

Unit cell a=4.0766 b=16.1072 c=8.5982 alpha=90.00 beta=90.00 gamma=90.00
With the nearest neighbours (Å) after each atom.
Space group Cmc2_1 (No. 36)
One atom of each set of equivalent atoms:
Dy 0.0000 0.1024 0.0000 [4 per cell]  1 Rh 2.86
Dy 0.0000 0.2153 0.6148 [4 per cell]  3 Rh 2.77-2.95
Dy 0.0000 0.3952 0.8505 [4 per cell]  2 Rh 2.68
Te 0.0000 0.4327 0.2072 [4 per cell]  6 Dy 3.03-3.29
Rh 0.0000 0.2045 0.2727 [4 per cell]  6 Dy 2.68-2.95


# 2
Below is an optimized crystal structure of SmDy2HoS6, with properties calculated at the PBE-GGA level.

Calculated values
N(E_F) in states/eV/f.u.: 0.0
Formation energy from raw total energies in eV/atom: -2.0530
Crystal system: trigonal

Unit cell a=6.9485 b=6.9485 c=18.5598 alpha=90.00 beta=90.00 gamma=120.00
With the nearest neighbours (Å) after each atom.
Space group R3 (No. 146, hexagonal axes)
One atom of each set of equivalent atoms:
Sm 0.0000 0.0000 0.0000 [3 per cell]  6 S 2.77-2.86
Dy 0.0000 0.0000 0.2950 [3 per cell]  6 S 2.72-2.79
Dy 0.0000 0.0000 0.7972 [3 per cell]  6 S 2.71-2.79
Ho 0.0000 0.0000 0.4964 [3 per cell]  6 S 2.72-2.78
S 0.9999 0.3032 0.8955 [9 per cell]  1 Ho 2.72, 2 Dy 2.72-2.79, 1 Sm 2.86
S 0.0106 0.7091 0.3962 [9 per cell]  2 Dy 2.71-2.79, 1 Sm 2.77, 1 Ho 2.78


# 3
Below is an optimized crystal structure of PmHCl, with properties calculated at the PBE-GGA level.

Calculated values
N(E_F) in states/eV/f.u.: 2.0
Crystal system: cubic
Distance to the lowest polymorph of the same formula in meV/atom: 492.3

Unit cell a=6.3103 b=6.3103 c=6.3103 alpha=90.00 beta=90.00 gamma=90.00
With the nearest neighbours (Å) after each atom.
Space group F-43m (No. 216)
One atom of each set of equivalent atoms:
Pm 0.0000 0.0000 0.0000 [4 per cell]  4 Cl 2.73, 4 H 2.73
H 0.2500 0.2500 0.2500 [4 per cell]  4 Pm 2.73
Cl 0.2500 0.2500 0.7500 [4 per cell]  4 Pm 2.73


# 4
Below is an optimized crystal structure of Ta2CoPt, with properties calculated at the PBE-GGA level.

Calculated values
N(E_F) in states/eV/f.u.: 4.3
E_form in kJ per mole of atoms: -37.5
Crystal system: tetragonal

Unit cell a=2.8123 b=2.8123 c=7.7429 alpha=90.00 beta=90.00 gamma=90.00
With the nearest neighbours (Å) after each atom.
Space group P4/mmm (No. 123)
One atom of each set of equivalent atoms:
Ta 0.0000 0.0000 0.2299 [2 per cell]  4 Co 2.67, 4 Ta 2.81, 4 Pt 2.89
Co 0.5000 0.5000 0.0000 [1 per cell]  8 Ta 2.67, 4 Co 2.81
Pt 0.5000 0.5000 0.5000 [1 per cell]  4 Pt 2.81, 8 Ta 2.89


# 5
Below is an optimized crystal structure of Tl2AuCl, with properties calculated at the PBE-GGA level.

Calculated values
N(E_F) in states/eV/f.u.: 0.9
Formation energy from raw total energies in eV/atom: -0.1438
Crystal system: cubic
Distance to the lowest polymorph of the same formula in meV/atom: 318.5

Unit cell a=7.5680 b=7.5680 c=7.5680 alpha=90.00 beta=90.00 gamma=90.00
With the nearest neighbours (Å) after each atom.
Space group F-43m (No. 216)
One atom of each set of equivalent atoms:
Tl 0.0000 0.0000 0.0000 [4 per cell]  4 Cl 3.28, 4 Tl 3.28
Tl 0.2500 0.2500 0.2500 [4 per cell]  4 Tl 3.28, 4 Au 3.28
Au 0.0000 0.0000 0.5000 [4 per cell]  4 Tl 3.28, 4 Cl 3.28
Cl 0.2500 0.2500 0.7500 [4 per cell]  4 Au 3.28, 4 Tl 3.28


# 6
Below is an optimized crystal structure of TlInCu2I6, with properties calculated at the PBE-GGA level.

Calculated values
Formation energy from raw total energies in eV/atom: -0.3335
Crystal system: monoclinic

Unit cell a=15.6523 b=13.8627 c=8.3840 alpha=90.00 beta=113.07 gamma=90.00
With the nearest neighbours (Å) after each atom.
Space group C2/c (No. 15)
One atom of each set of equivalent atoms:
Tl 0.0000 0.1631 0.2500 [4 per cell]  4 I 3.48-3.58
In 0.0000 0.1756 0.7500 [4 per cell]  4 I 2.80-2.84
Cu 0.1750 0.4608 0.2059 [8 per cell]  2 I 2.53
I 0.1194 0.2812 0.0339 [8 per cell]  1 In 2.80, 1 Cu 2.84
I 0.1283 0.0616 0.6685 [8 per cell]  1 In 2.84, 1 Cu 2.85
I 0.1459 0.4131 0.4722 [8 per cell]  2 Cu 2.53


# 7
Below is an optimized crystal structure of CeTmCdIn, with properties calculated at the PBE-GGA level.

Calculated values
N(E_F) in states/eV/f.u.: 10.1
E_form in kJ per mole of atoms: -29.5
Crystal system: cubic

Unit cell a=7.5626 b=7.5626 c=7.5626 alpha=90.00 beta=90.00 gamma=90.00
With the nearest neighbours (Å) after each atom.
Space group F-43m (No. 216)
One atom of each set of equivalent atoms:
Ce 0.0000 0.0000 0.0000 [4 per cell]  4 In 3.27, 4 Cd 3.27
Tm 0.0000 0.0000 0.5000 [4 per cell]  4 Cd 3.27, 4 In 3.27
Cd 0.2500 0.2500 0.2500 [4 per cell]  4 Ce 3.27, 4 Tm 3.27
In 0.2500 0.2500 0.7500 [4 per cell]  4 Ce 3.27, 4 Tm 3.27


# 8
Below is an optimized crystal structure of MnZn2P, with properties calculated at the PBE-GGA level.

Calculated values
N(E_F) in states/eV/f.u.: 1.7
E_form in kJ per mole of atoms: 4.9
Crystal system: orthorhombic

Unit cell a=3.5243 b=3.8686 c=8.1234 alpha=90.00 beta=90.00 gamma=90.00
With the nearest neighbours (Å) after each atom.
Space group Imm2 (No. 44)
One atom of each set of equivalent atoms:
Mn 0.0000 0.0000 0.0000 [2 per cell]  2 P 2.47, 8 Zn 2.62-2.76
Zn 0.0000 0.0000 0.5222 [2 per cell]  4 Mn 2.62, 4 P 2.72-2.78, 4 Zn 2.72-2.78
Zn 0.0000 0.5000 0.7578 [2 per cell]  4 P 2.63, 4 Zn 2.72-2.78, 4 Mn 2.74-2.76
P 0.0000 0.5000 0.2873 [2 per cell]  2 Mn 2.47, 6 Zn 2.63-2.72


Number 1: calculated volume 564.6 Å³/cell. Number 2: calculated volume 776.1 Å³/cell. Number 3: calculated volume 251.3 Å³/cell. Number 4: calculated volume 61.2 Å³/cell. Number 5: calculated volume 433.5 Å³/cell. Number 6: calculated volume 1673.6 Å³/cell. Number 7: calculated volume 432.5 Å³/cell. Number 8: calculated volume 110.8 Å³/cell.